No. 1
Ho2In2Pd3: relaxed, GGA-PBE.

Cell and atoms, written as POSCAR:
```
Ho2In2Pd3
1.0
4.896 0.000 0.000
-2.439 4.255 0.000
-0.048 -2.786 7.249
Ho In Pd
2 2 3
Direct
0.114 0.231 0.343
0.886 0.769 0.657
0.370 0.745 0.114
0.630 0.255 0.886
0.249 0.490 0.741
0.500 0.000 0.500
0.751 0.510 0.259
```

Output
ΔH_f (0 K)   -0.736 eV/atom


No. 2
TcPtCl3: relaxed, GGA-PBE.

Cell and atoms, written as POSCAR:
```
TcPtCl3
1.0
4.907 0.000 0.000
0.000 4.907 0.000
0.000 0.000 4.907
Tc Pt Cl
1 1 3
Direct
0.000 0.000 0.000
0.500 0.500 0.500
0.000 0.500 0.500
0.500 0.000 0.500
0.500 0.500 0.000
```

Output
Formation energy from raw total energies   610 meV/atom